## TaCoTc2 (PBE)

Data for crystalline TaCoTc2 at its relaxed geometry.

The total magnetization is 0.68 μB/atom.

Lattice parameters (Å, degrees): 4.3656 4.3656 4.3656 60.00 60.00 60.00
With the nearest neighbours (Å) after each atom.
Fractional coordinates of all 4 atoms:
Tc 0.7500 0.7500 0.7500  4 Ta 2.67, 4 Co 2.67
Tc 0.2500 0.2500 0.2500  4 Ta 2.67, 4 Co 2.67
Ta 0.5000 0.5000 0.5000  8 Tc 2.67
Co 0.0000 0.0000 0.0000  8 Tc 2.67

## TaCoTc2 (PBE)

Data for crystalline TaCoTc2 at its relaxed geometry.

The total magnetization is 0.38 μB/atom.

Lattice parameters (Å, degrees): 4.9918 5.1299 2.7066 79.07 81.24 116.51
With the nearest neighbours (Å) after each atom.
Fractional coordinates of all 4 atoms:
Tc 0.5000 0.0000 0.5000  4 Tc 2.65-2.71, 2 Co 2.66, 2 Ta 2.66
Tc 0.0000 0.0000 0.0000  4 Tc 2.65-2.71, 2 Ta 2.66, 2 Co 2.66
Co 0.0000 0.5000 0.5000  2 Ta 2.65, 4 Tc 2.66, 2 Co 2.71
Ta 0.5000 0.5000 0.0000  2 Co 2.65, 4 Tc 2.66, 2 Ta 2.71

## TaCo2Tc (PBE)

Data for crystalline TaCo2Tc at its relaxed geometry.

The total magnetization is 0.00 μB/atom.

Lattice parameters (Å, degrees): 4.5764 4.5764 4.5764 131.35 131.31 71.29
With the nearest neighbours (Å) after each atom.
Fractional coordinates of all 4 atoms:
Co 0.5000 0.5000 0.0000  4 Ta 2.65, 4 Tc 2.65, 4 Co 2.67
Co 0.0000 0.0000 0.0000  4 Ta 2.65, 4 Tc 2.65, 4 Co 2.67
Tc 0.2500 0.7500 0.5000  8 Co 2.65, 4 Ta 2.67
Ta 0.7500 0.2500 0.5000  8 Co 2.65, 4 Tc 2.67

## TaCo2Tc (PBE)

Data for crystalline TaCo2Tc at its relaxed geometry.

The total magnetization is 0.00 μB/atom.

Lattice parameters (Å, degrees): 4.5546 4.5546 4.6190 79.92 79.92 34.62
With the nearest neighbours (Å) after each atom.
Fractional coordinates of all 4 atoms:
Tc 0.2595 0.2595 0.2041  5 Co 2.53, 2 Tc 2.71, 1 Ta 2.75
Co 0.0032 0.0032 0.0182  3 Tc 2.53, 5 Co 2.61-2.78, 4 Ta 2.65-2.71
Co 0.7430 0.7430 0.7479  4 Tc 2.53-2.83, 3 Ta 2.55-2.61, 5 Co 2.61-2.78
Ta 0.4944 0.4944 0.5298  7 Co 2.55-2.71, 2 Ta 2.71, 1 Tc 2.75

## TaCoTc2 (PBE)

Data for crystalline TaCoTc2 at its relaxed geometry.

The total magnetization is 0.14 μB/atom.

Lattice parameters (Å, degrees): 4.6892 4.6892 4.6892 130.78 130.78 72.16
With the nearest neighbours (Å) after each atom.
Fractional coordinates of all 4 atoms:
Tc 0.0000 0.0000 0.0000  4 Ta 2.72, 4 Tc 2.72, 4 Co 2.76
Tc 0.2500 0.7500 0.5000  4 Co 2.72, 4 Tc 2.72, 4 Ta 2.76
Co 0.5000 0.5000 0.0000  8 Tc 2.72-2.76, 4 Ta 2.72
Ta 0.7500 0.2500 0.5000  4 Co 2.72, 8 Tc 2.72-2.76

## TaCoTc2 (PBE)

Data for crystalline TaCoTc2 at its relaxed geometry.

The total magnetization is 0.20 μB/atom.

Lattice parameters (Å, degrees): 9.0594 9.0594 9.0594 17.51 17.51 17.51
With the nearest neighbours (Å) after each atom.
Fractional coordinates of all 4 atoms:
Ta 0.7544 0.7544 0.7544  3 Co 2.70, 6 Ta 2.76, 3 Tc 2.95
Tc 0.2481 0.2481 0.2481  3 Co 2.64, 9 Tc 2.67-2.76
Tc 0.9947 0.9947 0.9947  9 Tc 2.67-2.76, 3 Ta 2.95
Co 0.5028 0.5028 0.5028  3 Tc 2.64, 3 Ta 2.70, 6 Co 2.76

Number 1: relative energy among the computed polymorphs 0.098 eV per atom. Number 2: relative energy among the computed polymorphs 0.114 eV per atom. Number 3: relative energy among the computed polymorphs 0.027 eV per atom. Number 4: relative energy among the computed polymorphs 0.126 eV per atom. Number 5: relative energy among the computed polymorphs 0.033 eV per atom. Number 6: relative energy among the computed polymorphs 0.214 eV per atom.